Entry 1:
The following is a PBE-GGA calculation of a relaxed structure of HfSc4Os5, from the Alexandria database.

Cell and atoms, written as POSCAR:
```
HfSc4Os5
1.0
3.233 0.000 0.000
0.000 3.233 0.000
0.000 0.000 16.060
Hf Sc Os
1 4 5
direct
0.000 0.000 0.000 Hf
0.000 0.000 0.202 Sc
0.000 0.000 0.400 Sc
0.000 0.000 0.600 Sc
0.000 0.000 0.798 Sc
0.500 0.500 0.099 Os
0.500 0.500 0.301 Os
0.500 0.500 0.500 Os
0.500 0.500 0.699 Os
0.500 0.500 0.901 Os
```

## Properties
formation energy: -4.13 eV/f.u.
space-group type: P4/mmm

=====

Entry 2:
The following is a PBE-GGA calculation of a relaxed structure of Hf2ScOs2, from the Alexandria database.

Cell and atoms, written as POSCAR:
```
Hf2ScOs2
1.0
3.239 0.000 -0.434
0.000 4.696 0.000
-0.049 0.000 11.931
Hf Sc Os
4 2 4
direct
0.048 0.750 0.097 Hf
0.952 0.250 0.903 Hf
0.234 0.750 0.468 Hf
0.766 0.250 0.532 Hf
0.857 0.750 0.713 Sc
0.143 0.250 0.287 Sc
0.645 0.750 0.290 Os
0.355 0.250 0.710 Os
0.453 0.750 0.906 Os
0.547 0.250 0.094 Os
```

## Properties
offset from the most stable computed form: 0.00 eV/f.u.
formation energy: -2.53 eV/f.u.
space-group type: Cmcm

=====

Entry 3:
The following is a PBE-GGA calculation of a relaxed structure of Hf2ScOs2, from the Alexandria database.

Cell and atoms, written as POSCAR:
```
Hf2ScOs2
1.0
-6.982 -1.063 -2.996
1.168 -7.582 -0.033
-1.249 -0.205 2.984
Sc Hf Os
2 4 4
direct
0.000 0.000 0.000 Sc
0.500 0.500 0.000 Sc
0.150 0.650 0.500 Hf
0.650 0.850 0.500 Hf
0.850 0.350 0.500 Hf
0.350 0.150 0.500 Hf
0.354 0.854 0.000 Os
0.854 0.646 0.000 Os
0.646 0.146 0.000 Os
0.146 0.354 0.000 Os
```

## Properties
offset from the most stable computed form: 0.82 eV/f.u.
formation energy: -1.71 eV/f.u.
space-group type: P4/mbm

=====

Entry 4:
The following is a PBE-GGA calculation of a relaxed structure of Hf2ScOs2, from the Alexandria database.

Cell and atoms, written as POSCAR:
```
Hf2ScOs2
1.0
-3.170 -0.758 -2.542
1.427 -3.826 -0.639
-4.264 -4.367 3.258
Sc Hf Os
1 2 2
direct
0.000 0.000 0.000 Sc
0.377 0.377 0.246 Hf
0.623 0.623 0.754 Hf
0.750 0.250 0.500 Os
0.250 0.750 0.500 Os
```

## Properties
offset from the most stable computed form: 3.76 eV/f.u.
formation energy: 1.24 eV/f.u.
space-group type: I4/mmm

=====

Entry 5:
The following is a PBE-GGA calculation of a relaxed structure of HfSc2SnOs, from the Alexandria database.

Cell and atoms, written as POSCAR:
```
HfSc2SnOs
1.0
4.972 0.000 0.000
0.000 5.273 0.000
0.000 0.000 4.972
Sc Hf Os Sn
2 1 1 1
direct
0.000 0.000 0.500 Sc
0.500 0.000 0.000 Sc
0.000 0.000 0.000 Hf
0.500 0.500 0.500 Os
0.000 0.500 0.000 Sn
```

## Properties
offset from the most stable computed form: 1.26 eV/f.u.
formation energy: 7.84 eV/f.u.
space-group type: P4/mmm

=====

Entry 6:
The following is a PBE-GGA calculation of a relaxed structure of HfSc2SnOs, from the Alexandria database.

Cell and atoms, written as POSCAR:
```
HfSc2SnOs
1.0
-4.201 2.082 1.937
1.663 -1.119 4.811
2.338 4.496 0.237
Sc Hf Os Sn
2 1 1 1
direct
0.000 0.000 0.500 Sc
0.500 0.000 0.000 Sc
0.000 0.500 0.000 Hf
0.500 0.500 0.500 Os
0.000 0.000 0.000 Sn
```

## Properties
offset from the most stable computed form: 0.00 eV/f.u.
formation energy: 6.58 eV/f.u.
space-group type: P4/mmm

=====

Entry 7:
The following is a PBE-GGA calculation of a relaxed structure of Hf2ScSnOs, from the Alexandria database.

Cell and atoms, written as POSCAR:
```
Hf2ScSnOs
1.0
5.014 0.000 0.000
0.000 5.094 0.000
0.000 0.000 5.014
Sc Hf Os Sn
1 2 1 1
direct
0.500 0.500 0.500 Sc
0.000 0.000 0.500 Hf
0.500 0.000 0.000 Hf
0.000 0.000 0.000 Os
0.000 0.500 0.000 Sn
```

## Properties
formation energy: 1.70 eV/f.u.
space-group type: P4/mmm

=====

Entry 8:
The following is a PBE-GGA calculation of a relaxed structure of Hf2OsSe, from the Alexandria database.

Cell and atoms, written as POSCAR:
```
Hf2OsSe
1.0
-1.385 2.572 -1.205
-2.151 1.576 1.695
5.395 6.572 3.682
Hf Os Se
2 1 1
direct
0.091 0.091 0.726 Hf
0.909 0.909 0.274 Hf
0.000 0.000 0.000 Os
0.500 0.500 0.500 Se
```

## Properties
E_form (uncorrected): 0.1636 eV per atom
space-group type: R-3m

=====

Entry 9:
The following is a PBE-GGA calculation of a relaxed structure of HfOs2Se, from the Alexandria database.

Cell and atoms, written as POSCAR:
```
HfOs2Se
1.0
-1.374 5.440 -1.568
-4.230 0.086 4.005
0.760 4.735 4.937
Hf Os Se
2 4 2
direct
0.000 0.000 0.000 Hf
0.750 0.250 0.500 Hf
0.586 0.125 0.250 Os
0.164 0.625 0.250 Os
0.375 0.414 0.750 Os
0.875 0.836 0.750 Os
0.500 0.500 0.000 Se
0.250 0.750 0.500 Se
```

## Properties
E_form (uncorrected): 0.8330 eV per atom
space-group type: I-42d

=====

Entry 10:
The following is a PBE-GGA calculation of a relaxed structure of Hf2OsSe, from the Alexandria database.

Cell and atoms, written as POSCAR:
```
Hf2OsSe
1.0
-2.527 5.398 0.338
-3.482 -1.339 -4.661
-7.233 -0.187 1.634
Hf Os Se
4 2 2
direct
0.650 0.125 0.250 Hf
0.100 0.625 0.250 Hf
0.375 0.350 0.750 Hf
0.875 0.900 0.750 Hf
0.000 0.000 0.000 Os
0.750 0.250 0.500 Os
0.500 0.500 0.000 Se
0.250 0.750 0.500 Se
```

## Properties
E_form (uncorrected): 0.1079 eV per atom
space-group type: I-42d

=====

Entry 11:
The following is a PBE-GGA calculation of a relaxed structure of Hf3OsSe, from the Alexandria database.

Cell and atoms, written as POSCAR:
```
Hf3OsSe
1.0
-0.012 2.812 4.162
-4.993 -0.464 0.299
0.552 -4.136 2.796
Hf Os Se
3 1 1
direct
0.000 0.500 0.000 Hf
0.000 0.000 0.500 Hf
0.500 0.000 0.000 Hf
0.000 0.000 0.000 Os
0.500 0.500 0.500 Se
```

## Properties
E_form (uncorrected): 0.2312 eV per atom
offset from the most stable computed form: 0.00 eV/f.u.
space-group type: Pm-3m

=====

Entry 12:
The following is a PBE-GGA calculation of a relaxed structure of HfOs3Se, from the Alexandria database.

Cell and atoms, written as POSCAR:
```
HfOs3Se
1.0
-0.427 -0.880 4.420
-3.249 -3.017 -0.914
3.124 -3.258 -0.347
Hf Os Se
1 3 1
direct
0.500 0.500 0.500 Hf
0.000 0.500 0.000 Os
0.000 0.000 0.500 Os
0.500 0.000 0.000 Os
0.000 0.000 0.000 Se
```

## Properties
E_form (uncorrected): 1.2002 eV per atom
offset from the most stable computed form: 0.00 eV/f.u.
space-group type: Pm-3m

=====

What E values result from the calculations? In sequence: -9.556 -10.245 -10.081 -9.492 -6.002 -6.255 -7.955 -8.492 -8.141 -8.547 -8.684 -8.225 eV/atom.